Record 1
This record from the Open Quantum Materials Database describes RbTbFeS3 after structural relaxation. The functional is GGA-PBE.

## Properties
- Space-group type: No. 11

a b c (Å): 9.0296 3.9847 9.4400
angles (deg): 90.00 108.72 90.00
Site moments in Bohr magnetons follow the coordinates.
Element x y z (fractional)
Rb (0.7071, 0.2500, 0.2356)  0.00
S (0.6176, 0.2500, 0.8444)  0.11
Tb (0.8349, 0.7500, 0.8519)  0.04
Rb (0.2929, 0.7500, 0.7644)  0.00
S (0.0390, 0.2500, 0.8448)  0.02
S (0.6925, 0.7500, 0.5361)  0.19
S (0.3824, 0.7500, 0.1556)  0.11
S (0.3075, 0.2500, 0.4639)  0.19
Tb (0.1651, 0.2500, 0.1481)  0.04
S (0.9610, 0.7500, 0.1552)  0.02
Fe (0.4236, 0.7500, 0.4066)  3.25
Fe (0.5764, 0.2500, 0.5934)  3.25

---

Record 2
This record from the Open Quantum Materials Database describes RbYFeS3 after structural relaxation. The functional is GGA-PBE.

## Properties
- Space-group type: No. 11

a b c (Å): 9.0457 3.9649 9.4886
angles (deg): 90.00 109.41 90.00
Site moments in Bohr magnetons follow the coordinates.
Element x y z (fractional)
Rb (0.2117, 0.2500, 0.2401)  0.00
Y (0.3337, 0.7500, 0.8534)  0.03
S (0.4630, 0.7500, 0.1545)  0.02
S (0.1164, 0.2500, 0.8437)  0.11
S (0.5370, 0.2500, 0.8455)  0.02
Rb (0.7883, 0.7500, 0.7599)  0.00
Fe (0.0757, 0.2500, 0.5939)  3.25
Fe (0.9243, 0.7500, 0.4061)  3.25
S (0.8836, 0.7500, 0.1563)  0.11
S (0.1940, 0.7500, 0.5385)  0.19
Y (0.6663, 0.2500, 0.1466)  0.03
S (0.8060, 0.2500, 0.4615)  0.19

---

Record 3
This record from the Open Quantum Materials Database describes RbYFeS3 after structural relaxation. The functional is GGA-PBE.

## Properties
- Space-group type: No. 12

a b c (Å): 8.5755 8.5755 8.6569
angles (deg): 102.27 102.27 27.59
Site moments in Bohr magnetons follow the coordinates.
Element x y z (fractional)
Fe (0.5044, 0.5044, 0.2324)  3.39
Rb (0.1497, 0.1497, 0.5667)  0.01
S (0.6630, 0.6630, 0.8627)  0.04
Y (0.1648, 0.1648, 0.0762)  0.02
Fe (0.4956, 0.4956, 0.7676)  3.39
S (0.5000, 0.5000, 0.5000)  0.23
S (0.0000, 0.0000, 0.0000)  0.13
S (0.3494, 0.3494, 0.7255)  0.07
S (0.6506, 0.6506, 0.2745)  0.07
Rb (0.8503, 0.8503, 0.4333)  0.01
S (0.3370, 0.3370, 0.1373)  0.04
Y (0.8352, 0.8352, 0.9238)  0.02

---

Asked for raw total energy across the records above, the calculation gives -5.7230, -6.0325, -5.8262 eV per atom in order.
Asked for total magnetic moment across the records above, the calculation gives 8.01, 8.00, 8.00 μB per cell in order.
Asked for ρ across the records above, the calculation gives 4.093, 3.377, 3.768 g cm⁻³ in order.